1.
{"formula": "NaCuSe3", "functional": "PBE-GGA", "state": "relaxed", "cell": [[-0.6979, -4.4596, 6.5301], [1.7934, -5.5286, 1.2412], [5.8085, 1.0638, 4.4146]], "species": ["Na", "Na", "Cu", "Cu", "Se", "Se", "Se", "Se", "Se", "Se"], "fractional_positions": [[0.7817, 0.4367, 0.7500], [0.2183, 0.5633, 0.2500], [0.5632, 0.8736, 0.2500], [0.4368, 0.1264, 0.7500], [0.3195, 0.9599, 0.5816], [0.2794, 0.0401, 0.0816], [0.6805, 0.0401, 0.4184], [0.7206, 0.9599, 0.9184], [0.1501, 0.6998, 0.7500], [0.8499, 0.3002, 0.2500]], "rho_g_cm3": 4.415, "dos_ef_per_ev_cell": 3.754, "dft_energy_ev_per_cell": -35.27, "space_group": "C2/c (15)", "e_form_raw_ev_per_atom": -0.35}


2.
{"formula": "Ba2DyBi2", "functional": "PBE-GGA", "state": "relaxed", "cell": [[-3.4006, 4.5116, 4.5218], [-6.7270, -0.0192, -5.0399], [2.3796, -7.8817, 3.8633]], "species": ["Ba", "Ba", "Ba", "Ba", "Dy", "Dy", "Bi", "Bi", "Bi", "Bi"], "fractional_positions": [[0.8542, 0.6934, 0.7084], [0.1458, 0.3066, 0.2916], [0.6458, 0.9850, 0.2916], [0.3542, 0.0150, 0.7084], [0.7500, 0.5000, 0.0000], [0.2500, 0.5000, 0.0000], [0.3890, 0.6253, 0.7779], [0.6110, 0.3747, 0.2221], [0.1110, 0.8474, 0.2221], [0.8890, 0.1526, 0.7779]], "formation_enthalpy_0k_ev_per_atom": -0.77, "rho_g_cm3": 6.477, "dos_ef_per_ev_cell": 6.800, "dft_energy_ev_per_cell": -40.08, "space_group": "Ibam (72)"}